No. 1
{"formula": "LiMgNi4", "functional": "PBEsol", "state": "relaxed", "lattice": [[-4.210, -1.629, 1.278], [-0.687, -4.618, 0.465], [-0.598, -1.866, 4.264]], "species": ["Ni", "Ni", "Ni", "Ni", "Mg", "Li"], "frac_coords": [[0.375, 0.875, 0.375], [0.375, 0.375, 0.875], [0.875, 0.375, 0.375], [0.375, 0.375, 0.375], [0.000, 0.000, 0.000], [0.750, 0.750, 0.750]], "formation_enthalpy_0k_ev_per_atom": -0.125, "n_ef_per_ev_fu": 4.53, "spacegroup": "No. 216", "vol_a3_per_atom": 12.17}

---

No. 2
{"formula": "LiMg3Ni", "functional": "PBEsol", "state": "relaxed", "lattice": [[4.613, 0.000, 0.000], [0.000, 4.613, 0.000], [0.000, 0.000, 4.613]], "species": ["Mg", "Mg", "Mg", "Ni", "Li"], "frac_coords": [[0.500, 0.000, 0.000], [0.000, 0.500, 0.000], [0.000, 0.000, 0.500], [0.500, 0.500, 0.500], [0.000, 0.000, 0.000]], "formation_enthalpy_0k_ev_per_atom": 0.745, "n_ef_per_ev_fu": 3.48, "spacegroup": "No. 221", "vol_a3_per_atom": 19.64}

---

No. 3
{"formula": "LiMg2Ni", "functional": "PBEsol", "state": "relaxed", "lattice": [[2.862, 0.000, -0.067], [0.000, 4.308, 0.000], [-1.166, 0.000, 5.138]], "species": ["Li", "Ni", "Mg", "Mg"], "frac_coords": [[0.417, 0.500, 0.750], [0.327, 0.000, 0.490], [0.729, 0.500, 0.308], [0.027, 0.000, 0.951]], "formation_enthalpy_0k_ev_per_atom": 0.010, "n_ef_per_ev_fu": 1.76, "spacegroup": "No. 6", "vol_a3_per_atom": 15.75}

---

No. 4
{"formula": "LiMg2Ni", "functional": "PBEsol", "state": "relaxed", "lattice": [[-1.879, -1.956, -1.574], [3.547, -2.188, -1.516], [-0.152, -2.688, 3.523]], "species": ["Mg", "Mg", "Li", "Ni"], "frac_coords": [[0.000, 0.000, 0.500], [0.000, 0.500, 0.000], [0.500, 0.500, 0.500], [0.500, 0.000, 0.000]], "formation_enthalpy_0k_ev_per_atom": -0.037, "n_ef_per_ev_fu": 2.60, "spacegroup": "No. 123", "vol_a3_per_atom": 15.42}